Entry 1:
DFT (PBE) results for a geometry-optimized Li2TcHg structure.

Geometry as POSCAR:
```
Li2TcHg
1.0
-2.270 2.270 3.246
2.270 -2.270 3.246
2.270 2.270 -3.246
Li Tc Hg
2 1 1
Direct
0.000 0.000 0.000
0.750 0.250 0.500
0.250 0.750 0.500
0.500 0.500 0.000
```

Output
Energy of formation   7.82 kcal/mol of atoms
ρ   7.8 g/cm3
Crystal system   tetragonal
Magnetic moment   2.4 μB per formula unit
Calculated volume   16.73 Å³/atom

---

Entry 2:
DFT (PBE) results for a geometry-optimized LiTcHg structure.

Geometry as POSCAR:
```
LiTcHg
1.0
2.822 0.000 0.000
-1.411 2.444 0.000
0.000 0.000 7.298
Li Tc Hg
1 1 1
Direct
0.000 0.000 0.000
0.667 0.333 0.309
0.333 0.667 0.664
```

Output
Energy of formation   8.97 kcal/mol of atoms
ρ   10.1 g/cm3
Crystal system   trigonal
Energy above the lowest structure with this stoichiometry   11 meV/atom
Magnetic moment   0.0 μB per formula unit
Calculated volume   16.78 Å³/atom

---

Entry 3:
DFT (PBE) results for a geometry-optimized Li3TcHg structure.

Geometry as POSCAR:
```
Li3TcHg
1.0
4.773 0.000 0.000
0.000 4.773 0.000
0.000 0.000 4.773
Li Tc Hg
3 1 1
Direct
0.000 0.000 0.500
0.000 0.500 0.000
0.500 0.000 0.000
0.500 0.500 0.500
0.000 0.000 0.000
```

Output
Energy of formation   19.26 kcal/mol of atoms
ρ   4.9 g/cm3
Crystal system   cubic
Energy above the lowest structure with this stoichiometry   0 meV/atom
Magnetic moment   3.0 μB per formula unit
Calculated volume   21.75 Å³/atom

---

Entry 4:
DFT (PBE) results for a geometry-optimized LiTcHg3 structure.

Geometry as POSCAR:
```
LiTcHg3
1.0
5.304 0.000 0.000
0.000 5.304 0.000
0.000 0.000 5.304
Li Tc Hg
1 1 3
Direct
0.000 0.000 0.000
0.500 0.500 0.500
0.000 0.500 0.500
0.500 0.000 0.500
0.500 0.500 0.000
```

Output
Energy of formation   12.28 kcal/mol of atoms
ρ   7.9 g/cm3
Crystal system   cubic
Energy above the lowest structure with this stoichiometry   0 meV/atom
Magnetic moment   1.4 μB per formula unit
Calculated volume   29.84 Å³/atom

---

Entry 5:
DFT (PBE) results for a geometry-optimized Li2TcHg structure.

Geometry as POSCAR:
```
Li2TcHg
1.0
4.705 -1.346 0.000
4.705 1.346 0.000
-0.706 0.000 5.089
Li Tc Hg
2 1 1
Direct
0.250 0.250 0.224
0.750 0.750 0.776
0.500 0.500 0.000
0.000 0.000 0.500
```

Output
Energy of formation   5.06 kcal/mol of atoms
ρ   8.1 g/cm3
Crystal system   monoclinic
Magnetic moment   0.1 μB per formula unit
Calculated volume   16.11 Å³/atom

---

Entry 6:
DFT (PBE) results for a geometry-optimized Li2TcHg structure.

Geometry as POSCAR:
```
Li2TcHg
1.0
2.854 -4.249 0.000
2.854 4.249 0.000
0.000 0.000 2.626
Li Tc Hg
2 1 1
Direct
0.000 0.500 0.000
0.500 0.000 0.000
0.000 0.000 0.500
0.500 0.500 0.500
```

Output
Energy of formation   5.66 kcal/mol of atoms
ρ   8.1 g/cm3
Crystal system   orthorhombic
Magnetic moment   0.0 μB per formula unit
Calculated volume   15.92 Å³/atom

---

Entry 7:
DFT (PBE) results for a geometry-optimized LiTcHg structure.

Geometry as POSCAR:
```
LiTcHg
1.0
0.000 2.236 7.113
1.581 0.000 7.113
1.581 2.236 0.000
Li Tc Hg
1 1 1
Direct
0.000 0.000 0.000
0.654 0.654 0.346
0.331 0.331 0.669
```

Output
Energy of formation   9.01 kcal/mol of atoms
ρ   10.1 g/cm3
Crystal system   orthorhombic
Energy above the lowest structure with this stoichiometry   13 meV/atom
Magnetic moment   0.0 μB per formula unit
Calculated volume   16.76 Å³/atom

---

Entry 8:
DFT (PBE) results for a geometry-optimized Li2TcHg structure.

Geometry as POSCAR:
```
Li2TcHg
1.0
2.689 0.000 0.000
0.000 2.689 0.000
0.000 0.000 8.944
Li Tc Hg
2 1 1
Direct
0.000 0.000 0.237
0.000 0.000 0.763
0.500 0.500 0.000
0.500 0.500 0.500
```

Output
Energy of formation   3.68 kcal/mol of atoms
ρ   8.0 g/cm3
Crystal system   tetragonal
Magnetic moment   0.0 μB per formula unit
Calculated volume   16.17 Å³/atom

---

Entry 9:
DFT (PBE) results for a geometry-optimized LiTc2Hg4 structure.

Geometry as POSCAR:
```
LiTc2Hg4
1.0
-2.507 2.507 6.772
2.507 -2.507 6.772
2.507 2.507 -6.772
Li Tc Hg
1 2 4
Direct
0.000 0.000 0.000
0.408 0.408 0.000
0.592 0.592 0.000
0.000 0.500 0.500
0.202 0.202 0.000
0.500 0.000 0.500
0.798 0.798 0.000
```

Output
Energy of formation   17.44 kcal/mol of atoms
ρ   9.8 g/cm3
Crystal system   tetragonal
Magnetic moment   4.3 μB per formula unit
Calculated volume   24.31 Å³/atom

---

Entry 10:
DFT (PBE) results for a geometry-optimized Li2TcHg structure.

Geometry as POSCAR:
```
Li2TcHg
1.0
2.746 0.000 0.000
0.000 2.746 0.000
0.000 0.000 9.020
Li Tc Hg
2 1 1
Direct
0.000 0.000 0.000
0.500 0.500 0.277
0.000 0.000 0.506
0.500 0.500 0.768
```

Output
Energy of formation   6.29 kcal/mol of atoms
ρ   7.6 g/cm3
Crystal system   tetragonal
Magnetic moment   0.0 μB per formula unit
Calculated volume   17.00 Å³/atom

---

Entry 11:
DFT (PBE) results for a geometry-optimized Li2TcHg structure.

Geometry as POSCAR:
```
Li2TcHg
1.0
-1.957 1.957 4.276
1.957 -1.957 4.276
1.957 1.957 -4.276
Li Tc Hg
2 1 1
Direct
0.250 0.750 0.500
0.750 0.250 0.500
0.000 0.000 0.000
0.500 0.500 0.000
```

Output
Energy of formation   8.42 kcal/mol of atoms
ρ   7.9 g/cm3
Crystal system   tetragonal
Magnetic moment   1.0 μB per formula unit
Calculated volume   16.38 Å³/atom

---

Entry 12:
DFT (PBE) results for a geometry-optimized Li3TcHg structure.

Geometry as POSCAR:
```
Li3TcHg
1.0
4.943 0.000 0.000
0.000 4.943 0.000
0.000 0.000 4.943
Li Tc Hg
3 1 1
Direct
0.000 0.000 0.500
0.000 0.500 0.000
0.500 0.000 0.000
0.000 0.000 0.000
0.500 0.500 0.500
```

Output
Energy of formation   21.89 kcal/mol of atoms
ρ   4.4 g/cm3
Crystal system   cubic
Energy above the lowest structure with this stoichiometry   114 meV/atom
Magnetic moment   2.2 μB per formula unit
Calculated volume   24.15 Å³/atom

---

Entry 13:
DFT (PBE) results for a geometry-optimized LiTcHg structure.

Geometry as POSCAR:
```
LiTcHg
1.0
-1.359 1.359 6.739
1.359 -1.359 6.739
1.359 1.359 -6.739
Li Tc Hg
1 1 1
Direct
0.000 0.000 0.000
0.343 0.343 0.000
0.666 0.666 0.000
```

Output
Energy of formation   8.72 kcal/mol of atoms
ρ   10.2 g/cm3
Crystal system   tetragonal
Energy above the lowest structure with this stoichiometry   0 meV/atom
Magnetic moment   0.0 μB per formula unit
Calculated volume   16.60 Å³/atom

---

Entry 14:
DFT (PBE) results for a geometry-optimized LiTcHg3 structure.

Geometry as POSCAR:
```
LiTcHg3
1.0
4.754 0.000 0.000
0.000 4.754 0.000
0.000 0.000 4.754
Li Tc Hg
1 1 3
Direct
0.000 0.000 0.000
0.500 0.500 0.500
0.000 0.000 0.500
0.000 0.500 0.000
0.500 0.000 0.000
```

Output
Energy of formation   18.69 kcal/mol of atoms
ρ   10.9 g/cm3
Crystal system   cubic
Energy above the lowest structure with this stoichiometry   278 meV/atom
Magnetic moment   3.2 μB per formula unit
Calculated volume   21.49 Å³/atom

---

Entry 15:
DFT (PBE) results for a geometry-optimized Li2TcHg structure.

Geometry as POSCAR:
```
Li2TcHg
1.0
2.657 0.000 0.000
0.000 4.495 0.000
-1.321 0.000 5.330
Li Tc Hg
2 1 1
Direct
0.000 0.000 0.000
0.100 0.500 0.239
0.728 0.000 0.482
0.360 0.500 0.741
```

Output
Energy of formation   6.32 kcal/mol of atoms
ρ   8.2 g/cm3
Crystal system   monoclinic
Magnetic moment   0.2 μB per formula unit
Calculated volume   15.91 Å³/atom